A plane-wave DFT calculation with PBE-GGA was carried out for a relaxed La4PaCo5 crystal.

Structure (POSCAR):
```
La4PaCo5
1.0
-4.681 4.681 2.490
4.681 -4.681 2.490
4.681 4.681 -2.490
La Pa Co
4 1 5
Direct
0.000 0.287 0.287
0.000 0.713 0.713
0.287 0.000 0.287
0.713 0.000 0.713
0.593 0.593 0.000
0.112 0.112 0.000
0.304 0.304 0.643
0.304 0.661 0.000
0.661 0.304 0.000
0.661 0.661 0.357
```

* crystal system: tetragonal
* volume: 218.3 Å³/cell
* Fermi-level density of states: 7.827 states/eV per cell
* electronic total energy: -6.495 eV per atom

A plane-wave DFT calculation with PBE-GGA was carried out for a relaxed La3Pa2Co4 crystal.

Structure (POSCAR):
```
La3Pa2Co4
1.0
5.868 -1.851 0.000
5.868 1.851 0.000
-1.954 0.000 9.126
La Pa Co
3 2 4
Direct
0.000 0.000 0.000
0.374 0.374 0.610
0.626 0.626 0.390
0.319 0.319 0.218
0.681 0.681 0.782
0.069 0.069 0.637
0.296 0.296 0.928
0.704 0.704 0.072
0.931 0.931 0.363
```

* crystal system: monoclinic
* volume: 198.2 Å³/cell
* Fermi-level density of states: 8.598 states/eV per cell
* electronic total energy: -7.165 eV per atom

A plane-wave DFT calculation with PBE-GGA was carried out for a relaxed LaPaCo3 crystal.

Structure (POSCAR):
```
LaPaCo3
1.0
1.984 -11.273 0.000
1.984 11.273 0.000
0.000 0.000 4.147
La Pa Co
2 2 6
Direct
0.072 0.928 0.750
0.928 0.072 0.250
0.204 0.796 0.250
0.796 0.204 0.750
0.309 0.691 0.250
0.369 0.631 0.750
0.473 0.527 0.750
0.527 0.473 0.250
0.631 0.369 0.250
0.691 0.309 0.750
```

* crystal system: orthorhombic
* volume: 185.5 Å³/cell
* Fermi-level density of states: 6.870 states/eV per cell
* electronic total energy: -7.381 eV per atom

Fermi-level density of states of number 1 (La4PaCo5)? 7.827 states/eV per cell

What is the electronic total energy in the second record? -7.165 eV per atom

Among the records above, which one has the lowest electronic total energy? LaPaCo3

Copy entry 3 word for word.
A plane-wave DFT calculation with PBE-GGA was carried out for a relaxed LaPaCo3 crystal.

Structure (POSCAR):
```
LaPaCo3
1.0
1.984 -11.273 0.000
1.984 11.273 0.000
0.000 0.000 4.147
La Pa Co
2 2 6
Direct
0.072 0.928 0.750
0.928 0.072 0.250
0.204 0.796 0.250
0.796 0.204 0.750
0.309 0.691 0.250
0.369 0.631 0.750
0.473 0.527 0.750
0.527 0.473 0.250
0.631 0.369 0.250
0.691 0.309 0.750
```

* crystal system: orthorhombic
* volume: 185.5 Å³/cell
* Fermi-level density of states: 6.870 states/eV per cell
* electronic total energy: -7.381 eV per atom